This record from Alexandria describes HgTeF2 after structural relaxation. The functional is PBE. Values from VASP.

Computed properties:
Offset from the most stable computed form: 0.0 meV per atom
Final energy: -11.7 eV for the cell shown
Formation energy (no corrections): -1.12 eV/atom
Volume: 85.7 Å³/f.u.
Total magnetization: 0.0 Bohr magnetons per cell
Symmetry: R-3m, No. 166

```
&SYSTEM
  ibrav = 0, nat = 4, ntyp = 3
/
ATOMIC_SPECIES
Hg 200.59 Hg.upf
Te 127.60 Te.upf
F 19.00 F.upf
CELL_PARAMETERS angstrom
1.639 0.946 9.208
-1.639 0.946 9.208
0.000 -1.893 9.208
ATOMIC_POSITIONS angstrom
Hg 0.000 0.000 0.000
Te 0.000 0.000 13.812
F 0.000 0.000 11.778
F 0.000 0.000 15.846
```